Below is a relaxed Rb2CoAg2F6 crystal, with properties calculated at the GGA+U level.

a = 6.6391 Å, b = 6.6391 Å, c = 16.8186 Å
α = 90.00°, β = 90.00°, γ = 120.00°
With the nearest neighbours (Å) after each atom.
Space group R-3m (No. 166, hexagonal axes)
Inequivalent atoms, fractional coordinates:
Rb (0.0000, 0.0000, 0.2138) [6 per cell]  3 F 2.81
Co (0.0000, 0.0000, 0.0000) [3 per cell]  6 F 2.06
Ag (0.0000, 0.0000, 0.4153) [6 per cell]  3 F 2.22
F (0.0529, 0.5265, 0.7434) [18 per cell]  1 Co 2.06, 1 Ag 2.22

Properties
raw total energy	-3.98	eV per atom
V	642.01	Å³ per cell